Entry 1:
# Tm2CoAu PBE-GGA relaxed
# DOS(E_F), states/eV per cell: 2.93
# Theoretical density, g/cm3: 12.17
# Raw total energy, eV/atom: -5.374
# ΔH_f (0 K), eV per atom: -0.5421
data_Tm2CoAu
_space_group_name_H-M_alt 'P 4/m m m'
_space_group_IT_number 123
_space_group_name_Hall '-P 4 2'
_cell_length_a 3.3839
_cell_length_b 3.3839
_cell_length_c 7.0746
_cell_angle_alpha 90.00
_cell_angle_beta 90.00
_cell_angle_gamma 90.00
loop_
_atom_site_label
_atom_site_type_symbol
_atom_site_fract_x
_atom_site_fract_y
_atom_site_fract_z
Tm1 Tm 0.0000 0.0000 0.2294
Co1 Co 0.5000 0.5000 0.0000
Au1 Au 0.5000 0.5000 0.5000

***

Entry 2:
# CaZnCo3 PBE-GGA relaxed
# DOS(E_F), states/eV per cell: 9.80
# Theoretical density, g/cm3: 5.20
# Raw total energy, eV/atom: -3.083
# ΔH_f (0 K), eV per atom: 1.8356
data_CaZnCo3
_space_group_name_H-M_alt 'P m -3 m'
_space_group_IT_number 221
_space_group_name_Hall '-P 4 2 3'
_cell_length_a 4.4833
_cell_length_b 4.4833
_cell_length_c 4.4833
_cell_angle_alpha 90.00
_cell_angle_beta 90.00
_cell_angle_gamma 90.00
loop_
_atom_site_label
_atom_site_type_symbol
_atom_site_fract_x
_atom_site_fract_y
_atom_site_fract_z
Ca1 Ca 0.0000 0.0000 0.0000
Zn1 Zn 0.5000 0.5000 0.5000
Co1 Co 0.0000 0.0000 0.5000

***

Entry 3:
# Ce8Ag2Os3 PBE-GGA relaxed
# DOS(E_F), states/eV per cell: 36.66
# Theoretical density, g/cm3: 9.08
# Raw total energy, eV/atom: -6.707
# ΔH_f (0 K), eV per atom: -0.0257
data_Ce8Ag2Os3
_space_group_name_H-M_alt 'P 1 2/m 1'
_space_group_IT_number 10
_space_group_name_Hall '-P 2y'
_cell_length_a 8.9539
_cell_length_b 4.6676
_cell_length_c 8.9732
_cell_angle_alpha 90.00
_cell_angle_beta 111.60
_cell_angle_gamma 90.00
loop_
_atom_site_label
_atom_site_type_symbol
_atom_site_fract_x
_atom_site_fract_y
_atom_site_fract_z
Ce1 Ce 0.0925 0.0000 0.4077
Ce2 Ce 0.1380 0.5000 0.8676
Ce3 Ce 0.3666 0.5000 0.6380
Ce4 Ce 0.3799 0.0000 0.1200
Ag1 Ag 0.2396 0.5000 0.2610
Os1 Os 0.2653 0.0000 0.7656
Os2 Os 0.5000 0.5000 0.0000

***

Entry 4:
# Mn2TlZnNi PBE-GGA relaxed
# DOS(E_F), states/eV per cell: 4.19
# Theoretical density, g/cm3: 5.82
# Raw total energy, eV/atom: -4.235
# ΔH_f (0 K), eV per atom: 1.3167
data_Mn2TlZnNi
_space_group_name_H-M_alt 'P 4/m m m'
_space_group_IT_number 123
_space_group_name_Hall '-P 4 2'
_cell_length_a 5.1067
_cell_length_b 5.1067
_cell_length_c 4.7978
_cell_angle_alpha 90.00
_cell_angle_beta 90.00
_cell_angle_gamma 90.00
loop_
_atom_site_label
_atom_site_type_symbol
_atom_site_fract_x
_atom_site_fract_y
_atom_site_fract_z
Mn1 Mn 0.0000 0.5000 0.0000
Tl1 Tl 0.0000 0.0000 0.0000
Zn1 Zn 0.5000 0.5000 0.5000
Ni1 Ni 0.0000 0.0000 0.5000

***

Entry 5:
# LiHfZrOs PBE-GGA relaxed
# DOS(E_F), states/eV per cell: 13.10
# Theoretical density, g/cm3: 10.96
# Raw total energy, eV/atom: -8.262
# ΔH_f (0 K), eV per atom: -0.3507
data_LiHfZrOs
_space_group_name_H-M_alt 'F -4 3 m'
_space_group_IT_number 216
_space_group_name_Hall 'F -4 2 3'
_cell_length_a 6.5642
_cell_length_b 6.5642
_cell_length_c 6.5642
_cell_angle_alpha 90.00
_cell_angle_beta 90.00
_cell_angle_gamma 90.00
loop_
_atom_site_label
_atom_site_type_symbol
_atom_site_fract_x
_atom_site_fract_y
_atom_site_fract_z
Li1 Li 0.0000 0.0000 0.0000
Hf1 Hf 0.2500 0.2500 0.2500
Zr1 Zr 0.2500 0.2500 0.7500
Os1 Os 0.0000 0.0000 0.5000

***

Entry 6:
# ErMoRu2 PBE-GGA relaxed
# DOS(E_F), states/eV per cell: 5.42
# Theoretical density, g/cm3: 11.30
# Raw total energy, eV/atom: -8.580
# ΔH_f (0 K), eV per atom: -0.0940
data_ErMoRu2
_space_group_name_H-M_alt 'P 4/m m m'
_space_group_IT_number 123
_space_group_name_Hall '-P 4 2'
_cell_length_a 3.1207
_cell_length_b 3.1207
_cell_length_c 7.0241
_cell_angle_alpha 90.00
_cell_angle_beta 90.00
_cell_angle_gamma 90.00
loop_
_atom_site_label
_atom_site_type_symbol
_atom_site_fract_x
_atom_site_fract_y
_atom_site_fract_z
Er1 Er 0.0000 0.0000 0.0000
Mo1 Mo 0.0000 0.0000 0.5000
Ru1 Ru 0.5000 0.5000 0.2839

***

Entry 7:
# TaAlN PBE-GGA relaxed
# DOS(E_F), states/eV per cell: 5.27
# Theoretical density, g/cm3: 8.32
# Formation energy (no corrections), eV/atom: -0.3558
# Raw total energy, eV/atom: -8.329
data_TaAlN
_space_group_name_H-M_alt 'P 21 3'
_space_group_IT_number 198
_space_group_name_Hall 'P 2ac 2ab 3'
_cell_length_a 5.6175
_cell_length_b 5.6175
_cell_length_c 5.6175
_cell_angle_alpha 90.00
_cell_angle_beta 90.00
_cell_angle_gamma 90.00
loop_
_atom_site_label
_atom_site_type_symbol
_atom_site_fract_x
_atom_site_fract_y
_atom_site_fract_z
Ta1 Ta 0.1034 0.3966 0.6034
Al1 Al 0.1097 0.8903 0.3903
N1 N 0.0856 0.5856 0.9144

***

Entry 8:
# InAs2Rh2 PBE-GGA relaxed
# DOS(E_F), states/eV per cell: 8.57
# Theoretical density, g/cm3: 8.52
# Raw total energy, eV/atom: -5.459
# ΔH_f (0 K), eV per atom: -0.1113
data_InAs2Rh2
_space_group_name_H-M_alt 'I 4/m m m'
_space_group_IT_number 139
_space_group_name_Hall '-I 4 2'
_cell_length_a 3.9095
_cell_length_b 3.9095
_cell_length_c 11.9926
_cell_angle_alpha 90.00
_cell_angle_beta 90.00
_cell_angle_gamma 90.00
loop_
_atom_site_label
_atom_site_type_symbol
_atom_site_fract_x
_atom_site_fract_y
_atom_site_fract_z
In1 In 0.0000 0.0000 0.0000
As1 As 0.0000 0.5000 0.2500
Rh1 Rh 0.0000 0.0000 0.3866

***

Entry 9:
# Ca2TcOs PBE-GGA relaxed
# DOS(E_F), states/eV per cell: 4.80
# Theoretical density, g/cm3: 7.94
# Raw total energy, eV/atom: -5.657
# ΔH_f (0 K), eV per atom: 0.7423
data_Ca2TcOs
_space_group_name_H-M_alt 'P 4/m m m'
_space_group_IT_number 123
_space_group_name_Hall '-P 4 2'
_cell_length_a 4.0012
_cell_length_b 4.0012
_cell_length_c 4.8113
_cell_angle_alpha 90.00
_cell_angle_beta 90.00
_cell_angle_gamma 90.00
loop_
_atom_site_label
_atom_site_type_symbol
_atom_site_fract_x
_atom_site_fract_y
_atom_site_fract_z
Ca1 Ca 0.0000 0.5000 0.0000
Tc1 Tc 0.0000 0.0000 0.5000
Os1 Os 0.5000 0.5000 0.5000

***

Entry 10:
# Dy2GaBr PBE-GGA relaxed
# DOS(E_F), states/eV per cell: 3.14
# Theoretical density, g/cm3: 8.15
# Formation energy (no corrections), eV/atom: -0.7268
# Raw total energy, eV/atom: -4.203
data_Dy2GaBr
_space_group_name_H-M_alt 'P 4/m m m'
_space_group_IT_number 123
_space_group_name_Hall '-P 4 2'
_cell_length_a 3.4516
_cell_length_b 3.4516
_cell_length_c 8.1136
_cell_angle_alpha 90.00
_cell_angle_beta 90.00
_cell_angle_gamma 90.00
loop_
_atom_site_label
_atom_site_type_symbol
_atom_site_fract_x
_atom_site_fract_y
_atom_site_fract_z
Dy1 Dy 0.0000 0.0000 0.2239
Ga1 Ga 0.5000 0.5000 0.0000
Br1 Br 0.5000 0.5000 0.5000

***

Entry 11:
# MoP2Br PBE-GGA relaxed
# DOS(E_F), states/eV per cell: 4.01
# Theoretical density, g/cm3: 5.09
# Formation energy (no corrections), eV/atom: 0.0709
# Raw total energy, eV/atom: -5.760
data_MoP2Br
_space_group_name_H-M_alt 'P 4/m m m'
_space_group_IT_number 123
_space_group_name_Hall '-P 4 2'
_cell_length_a 3.1153
_cell_length_b 3.1153
_cell_length_c 7.9955
_cell_angle_alpha 90.00
_cell_angle_beta 90.00
_cell_angle_gamma 90.00
loop_
_atom_site_label
_atom_site_type_symbol
_atom_site_fract_x
_atom_site_fract_y
_atom_site_fract_z
Mo1 Mo 0.0000 0.0000 0.0000
P1 P 0.5000 0.5000 0.1593
Br1 Br 0.0000 0.0000 0.5000

***

Entry 12:
# Al2PAu2 PBE-GGA relaxed
# DOS(E_F), states/eV per cell: 2.67
# Theoretical density, g/cm3: 9.23
# Raw total energy, eV/atom: -3.905
# ΔH_f (0 K), eV per atom: -0.0147
data_Al2PAu2
_space_group_name_H-M_alt 'P 4/m b m'
_space_group_IT_number 127
_space_group_name_Hall '-P 4 2ab'
_cell_length_a 7.5331
_cell_length_b 7.5331
_cell_length_c 3.0355
_cell_angle_alpha 90.00
_cell_angle_beta 90.00
_cell_angle_gamma 90.00
loop_
_atom_site_label
_atom_site_type_symbol
_atom_site_fract_x
_atom_site_fract_y
_atom_site_fract_z
Al1 Al 0.1611 0.3389 0.0000
P1 P 0.0000 0.0000 0.5000
Au1 Au 0.1384 0.6384 0.5000

***

Entry 13:
# Nd2SiBPt6 PBE-GGA relaxed
# DOS(E_F), states/eV per cell: 6.09
# Theoretical density, g/cm3: 13.98
# Formation energy (no corrections), eV/atom: -0.9600
# Raw total energy, eV/atom: -6.748
data_Nd2SiBPt6
_space_group_name_H-M_alt 'I 4 m m'
_space_group_IT_number 107
_space_group_name_Hall 'I 4 -2'
_cell_length_a 5.7844
_cell_length_b 5.7844
_cell_length_c 10.6380
_cell_angle_alpha 90.00
_cell_angle_beta 90.00
_cell_angle_gamma 90.00
loop_
_atom_site_label
_atom_site_type_symbol
_atom_site_fract_x
_atom_site_fract_y
_atom_site_fract_z
Nd1 Nd 0.0000 0.5000 0.0000
Si1 Si 0.0000 0.0000 0.3595
B1 B 0.0000 0.0000 0.8612
Pt1 Pt 0.0000 0.0000 0.0598
Pt2 Pt 0.0000 0.0000 0.5736
Pt3 Pt 0.2423 0.2423 0.7566